(1)
Material: LiTb3Al3
Method: DFT, PBE-GGA
State: optimized geometry

a b c (Å): 6.431 6.790 7.688
angles (deg): 96.18 97.59 103.13
Space group P-1 (No. 2)
Asymmetric unit:
Li 0.004 0.152 0.155 (multiplicity 2)
Tb 0.102 0.272 0.537 (multiplicity 2)
Tb 0.376 0.193 0.933 (multiplicity 2)
Tb 0.432 0.785 0.614 (multiplicity 2)
Al 0.161 0.547 0.892 (multiplicity 2)
Al 0.186 0.856 0.188 (multiplicity 2)
Al 0.300 0.513 0.251 (multiplicity 2)

Calculated values
energy of formation from the pure elements = -0.22 eV per atom
Fermi-level density of states = 4.992 states/eV/f.u.
crystal system = triclinic
mass density = 5.847 g/cm³

***

(2)
Material: NdTmHfSc
Method: DFT, PBE-GGA
State: optimized geometry

a b c (Å): 7.578 7.578 7.578
angles (deg): 90.00 90.00 90.00
Space group F-43m (No. 216)
Asymmetric unit:
Nd 0.000 0.000 0.000 (multiplicity 4)
Tm 0.250 0.250 0.250 (multiplicity 4)
Hf 0.000 0.000 0.500 (multiplicity 4)
Sc 0.250 0.250 0.750 (multiplicity 4)

Calculated values
energy of formation from the pure elements = 0.25 eV per atom
Fermi-level density of states = 7.663 states/eV/f.u.
crystal system = cubic
mass density = 8.189 g/cm³

***

(3)
Material: CeZnAgHg
Method: DFT, PBE-GGA
State: optimized geometry

a b c (Å): 7.059 7.059 7.059
angles (deg): 90.00 90.00 90.00
Space group F-43m (No. 216)
Asymmetric unit:
Ce 0.000 0.000 0.000 (multiplicity 4)
Zn 0.250 0.250 0.250 (multiplicity 4)
Ag 0.000 0.000 0.500 (multiplicity 4)
Hg 0.250 0.250 0.750 (multiplicity 4)

Calculated values
energy of formation from the pure elements = -0.21 eV per atom
Fermi-level density of states = 6.190 states/eV/f.u.
crystal system = cubic
mass density = 9.706 g/cm³

***

(4)
Material: AlCu2Au
Method: DFT, PBE-GGA
State: optimized geometry

a b c (Å): 5.236 8.649 2.774
angles (deg): 90.00 112.34 90.00
Space group C2/m (No. 12)
Asymmetric unit:
Al 0.000 0.000 0.000 (multiplicity 2)
Cu 0.250 0.250 0.500 (multiplicity 4)
Au 0.000 0.500 0.000 (multiplicity 2)

Calculated values
energy of formation from the pure elements = -0.10 eV per atom
Fermi-level density of states = 0.777 states/eV/f.u.
crystal system = monoclinic
mass density = 10.034 g/cm³

***

(5)
Material: NbGe2SbPb
Method: DFT, PBE-GGA
State: optimized geometry

a b c (Å): 5.335 5.335 5.298
angles (deg): 90.00 90.00 90.00
Space group P4/mmm (No. 123)
Asymmetric unit:
Nb 0.000 0.000 0.000 (multiplicity 1)
Ge 0.000 0.500 0.500 (multiplicity 2)
Sb 0.000 0.000 0.500 (multiplicity 1)
Pb 0.500 0.500 0.000 (multiplicity 1)

Calculated values
formation energy (no corrections) = 1058 meV per atom
Fermi-level density of states = 4.114 states/eV/f.u.
crystal system = tetragonal
mass density = 6.245 g/cm³

***

(6)
Material: ThPtRh4
Method: DFT, PBE-GGA
State: optimized geometry

a b c (Å): 7.465 7.465 7.465
angles (deg): 90.00 90.00 90.00
Space group F-43m (No. 216)
Asymmetric unit:
Th 0.000 0.000 0.000 (multiplicity 4)
Pt 0.250 0.250 0.750 (multiplicity 4)
Rh 0.124 0.124 0.376 (multiplicity 16)

Calculated values
energy of formation from the pure elements = -0.39 eV per atom
Fermi-level density of states = 9.700 states/eV/f.u.
crystal system = cubic
ΔE to the lowest computed polymorph = 0.0 meV/atom
mass density = 13.392 g/cm³

***

(7)
Material: NaGaSe2
Method: DFT, PBE-GGA
State: optimized geometry

a b c (Å): 7.652 3.727 14.656
angles (deg): 90.00 90.00 90.00
Space group Pnma (No. 62)
Asymmetric unit:
Na 0.085 0.250 0.115 (multiplicity 4)
Ga 0.009 0.750 0.397 (multiplicity 4)
Se 0.079 0.750 0.705 (multiplicity 4)
Se 0.218 0.250 0.479 (multiplicity 4)

Calculated values
formation energy (no corrections) = -693 meV per atom
Fermi-level density of states = 0.000 states/eV/f.u.
crystal system = orthorhombic
mass density = 3.983 g/cm³

***

(8)
Material: LiAc2Sn2
Method: DFT, PBE-GGA
State: optimized geometry

a b c (Å): 12.177 4.945 11.887
angles (deg): 90.00 118.44 90.00
Space group C2/m (No. 12)
Asymmetric unit:
Li 0.227 0.000 0.364 (multiplicity 4)
Ac 0.013 0.500 0.334 (multiplicity 4)
Ac 0.188 0.500 0.098 (multiplicity 4)
Sn 0.010 0.000 0.878 (multiplicity 4)
Sn 0.142 0.000 0.572 (multiplicity 4)

Calculated values
energy of formation from the pure elements = -0.65 eV per atom
Fermi-level density of states = 2.296 states/eV/f.u.
crystal system = monoclinic
mass density = 7.370 g/cm³

***

(9)
Material: Ba2Pu3HfO12
Method: DFT, PBE-GGA
State: optimized geometry

a b c (Å): 7.9144 7.9144 18.6052
angles (deg): 90.00 90.00 120.00
Space group R-3m (No. 166, hexagonal axes)
Asymmetric unit:
Ba 0.0000 0.0000 0.1806 (multiplicity 6)
Pu 0.0000 0.5000 0.0000 (multiplicity 9)
Hf 0.0000 0.0000 0.5000 (multiplicity 3)
O 0.0769 0.5385 0.1066 (multiplicity 18)
O 0.0916 0.5458 0.3678 (multiplicity 18)

Calculated values
formation energy (no corrections) = -2844 meV per atom
Fermi-level density of states = 12.671 states/eV/f.u.
crystal system = trigonal
mass density = 6.797 g/cm³

***

(10)
Material: CaPmSi2Pd5
Method: DFT, PBE-GGA
State: optimized geometry

a b c (Å): 4.224 4.224 9.028
angles (deg): 90.00 90.00 90.00
Space group P4/mmm (No. 123)
Asymmetric unit:
Ca 0.000 0.000 0.000 (multiplicity 1)
Pm 0.000 0.000 0.500 (multiplicity 1)
Si 0.500 0.500 0.133 (multiplicity 2)
Pd 0.000 0.500 0.265 (multiplicity 4)
Pd 0.500 0.500 0.500 (multiplicity 1)

Calculated values
formation energy (no corrections) = -841 meV per atom
Fermi-level density of states = 4.506 states/eV/f.u.
crystal system = tetragonal
mass density = 7.972 g/cm³

***

(11)
Material: Dy5MgHg6
Method: DFT, PBE-GGA
State: optimized geometry

a b c (Å): 5.159 7.409 15.662
angles (deg): 90.00 90.00 90.00
Space group Immm (No. 71)
Asymmetric unit:
Dy 0.000 0.000 0.000 (multiplicity 2)
Dy 0.000 0.000 0.338 (multiplicity 4)
Dy 0.000 0.500 0.331 (multiplicity 4)
Mg 0.000 0.500 0.000 (multiplicity 2)
Hg 0.000 0.244 0.500 (multiplicity 4)
Hg 0.000 0.255 0.163 (multiplicity 8)

Calculated values
energy of formation from the pure elements = -0.47 eV per atom
Fermi-level density of states = 7.859 states/eV/f.u.
crystal system = orthorhombic
mass density = 11.320 g/cm³

***

(12)
Material: LiCd2In
Method: DFT, PBE-GGA
State: optimized geometry

a b c (Å): 3.234 5.154 5.325
angles (deg): 90.00 92.51 90.00
Space group P2/m (No. 10)
Asymmetric unit:
Li 0.000 0.000 0.000 (multiplicity 1)
Cd 0.267 0.500 0.237 (multiplicity 2)
In 0.500 0.000 0.500 (multiplicity 1)

Calculated values
energy of formation from the pure elements = -0.12 eV per atom
Fermi-level density of states = 0.824 states/eV/f.u.
crystal system = monoclinic
mass density = 6.491 g/cm³